5
Lattice="-0.405 4.245 -2.174 -4.520 0.356 1.536 1.524 2.183 3.978" Properties=species:S:1:pos:R:3 comment="InCu4, optimized geometry, DFT PBE-GGA" dos_ef_per_ev_cell=2.6 total_magnetization_mub_per_fu=0.00 e_tot_ev_per_cell=-13.5 ef_mev_per_atom=1121 sg="Pm-3m, No. 221" pbc="T T T"
Cu 0.000 0.000 0.000
Cu 0.559 3.214 0.902
Cu -1.498 1.269 2.757
Cu -2.462 2.300 -0.319
In -1.700 3.392 1.670